[1]
Compound: Pm6Dy2Tm3
Source: the Alexandria database
Functional: PBE
Structure: relaxed

abc: 3.5897 3.5897 32.0675
angles: 86.79 86.79 60.00
Sites, in units of the cell vectors:
Pm: 0.9099 0.9099 0.2702
Pm: 0.0901 0.0901 0.7298
Pm: 0.8177 0.8177 0.5469
Pm: 0.1823 0.1823 0.4531
Pm: 0.6367 0.6367 0.0900
Pm: 0.3633 0.3633 0.9100
Dy: 0.5462 0.5462 0.3615
Dy: 0.4538 0.4538 0.6385
Tm: 0.0000 0.0000 0.0000
Tm: 0.7267 0.7267 0.8200
Tm: 0.2733 0.2733 0.1800

M_tot = 0.00 μB per formula unit
formation energy from the elements = 0.18 eV per formula unit
polymorph energy (0 for the lowest one) = 0 meV per atom
electronic total energy = -50.94 eV/cell

***

[2]
Compound: PmSm6Tl
Source: the Alexandria database
Functional: PBE
Structure: relaxed

abc: 4.9876 4.9876 10.3245
angles: 90.00 90.00 90.00
Sites, in units of the cell vectors:
Pm: 0.0000 0.0000 0.0000
Sm: 0.5000 0.5000 0.0000
Sm: 0.5000 0.5000 0.5000
Sm: 0.5000 0.0000 0.2570
Sm: 0.5000 0.0000 0.7430
Sm: 0.0000 0.5000 0.2570
Sm: 0.0000 0.5000 0.7430
Tl: 0.0000 0.0000 0.5000

M_tot = 0.00 μB per formula unit
formation energy from the elements = -0.62 eV per formula unit
electronic total energy = -36.06 eV/cell

***

[3]
Compound: Pm2PrTm
Source: the Alexandria database
Functional: PBE
Structure: relaxed

abc: 5.7731 5.7731 5.7731
angles: 60.00 60.00 60.00
Sites, in units of the cell vectors:
Pr: 0.5000 0.5000 0.5000
Tm: 0.0000 0.0000 0.0000
Pm: 0.2500 0.2500 0.2500
Pm: 0.7500 0.7500 0.7500

M_tot = 0.00 μB per formula unit
formation energy from the elements = 0.57 eV per formula unit
polymorph energy (0 for the lowest one) = 126 meV per atom
electronic total energy = -18.18 eV/cell

***

[4]
Compound: Th2Si3Ni12Ag
Source: the Alexandria database
Functional: PBE
Structure: relaxed

abc: 6.3670 6.3670 6.3670
angles: 84.79 84.79 84.79
Sites, in units of the cell vectors:
Th: 0.6563 0.6563 0.6563
Th: 0.3437 0.3437 0.3437
Si: 0.5000 0.0000 0.0000
Si: 0.0000 0.5000 0.0000
Si: 0.0000 0.0000 0.5000
Ni: 0.3828 0.3828 0.9014
Ni: 0.8093 0.8093 0.3103
Ni: 0.3103 0.8093 0.8093
Ni: 0.9014 0.3828 0.3828
Ni: 0.8093 0.3103 0.8093
Ni: 0.3828 0.9014 0.3828
Ni: 0.6172 0.6172 0.0986
Ni: 0.1907 0.1907 0.6897
Ni: 0.6897 0.1907 0.1907
Ni: 0.0986 0.6172 0.6172
Ni: 0.1907 0.6897 0.1907
Ni: 0.6172 0.0986 0.6172
Ag: 0.0000 0.0000 0.0000

formation energy from raw total energies = -0.1194 eV per atom
M_tot = 0.00 μB per formula unit
electronic total energy = -105.48 eV/cell

***

[5]
Compound: Ho4NbN5
Source: the Alexandria database
Functional: PBE
Structure: relaxed

abc: 4.7740 5.8332 5.8332
angles: 80.36 65.84 65.84
Sites, in units of the cell vectors:
Ho: 0.4026 0.3956 0.8013
Ho: 0.7982 0.8013 0.6044
Ho: 0.2039 0.1987 0.3956
Ho: 0.5994 0.6044 0.1987
Nb: 0.0013 0.0000 0.0000
N: 0.9044 0.3837 0.8098
N: 0.2881 0.8098 0.6163
N: 0.7141 0.1902 0.3837
N: 0.0978 0.6163 0.1902
N: 0.5006 0.0000 0.0000

formation energy from raw total energies = -1.5784 eV per atom
M_tot = 0.00 μB per formula unit
electronic total energy = -85.79 eV/cell

***

[6]
Compound: Pr2Y3Hg4
Source: the Alexandria database
Functional: PBE
Structure: relaxed

abc: 7.0790 8.2342 9.6344
angles: 90.00 111.55 90.00
Sites, in units of the cell vectors:
Pr: 0.0953 0.5884 0.1906
Pr: 0.9047 0.4116 0.8094
Pr: 0.4047 0.0884 0.8094
Pr: 0.5953 0.9116 0.1906
Y: 0.0000 0.0000 0.0000
Y: 0.5000 0.5000 0.0000
Y: 0.5110 0.7500 0.5220
Y: 0.9890 0.2500 0.4780
Y: 0.4890 0.2500 0.4780
Y: 0.0110 0.7500 0.5220
Hg: 0.6845 0.7500 0.8691
Hg: 0.8155 0.2500 0.1309
Hg: 0.3155 0.2500 0.1309
Hg: 0.1845 0.7500 0.8691
Hg: 0.1689 0.9731 0.3377
Hg: 0.8311 0.0269 0.6623
Hg: 0.3311 0.4731 0.6623
Hg: 0.6689 0.5269 0.3377

M_tot = 0.00 μB per formula unit
formation energy from the elements = -3.30 eV per formula unit
electronic total energy = -66.91 eV/cell

***

[7]
Compound: KScSb2
Source: the Alexandria database
Functional: PBE
Structure: relaxed

abc: 3.7619 3.7619 9.9169
angles: 90.00 90.00 90.00
Sites, in units of the cell vectors:
K: 0.5000 0.5000 0.7689
Sb: 0.0000 0.0000 0.0091
Sb: 0.5000 0.5000 0.4222
Sc: 0.0000 0.0000 0.2998

formation energy from raw total energies = -0.3451 eV per atom
M_tot = 0.00 μB per formula unit
polymorph energy (0 for the lowest one) = 231 meV per atom
electronic total energy = -17.05 eV/cell

***

[8]
Compound: Na4Hf
Source: the Alexandria database
Functional: PBE
Structure: relaxed

abc: 6.2612 6.2612 6.2612
angles: 90.00 90.00 90.00
Last column: magnetic moment on the atom in μB.
Sites, in units of the cell vectors:
Na: 0.0000 0.0000 0.0000  -0.01
Na: 0.5000 0.0000 0.5000  0.04
Na: 0.0000 0.5000 0.5000  0.04
Na: 0.5000 0.5000 0.0000  0.04
Hf: 0.5000 0.5000 0.5000  1.55

M_tot = 3.44 μB per formula unit
formation energy from the elements = 5.76 eV per formula unit
electronic total energy = -9.47 eV/cell

***

[9]
Compound: BAsC2
Source: the Alexandria database
Functional: PBE
Structure: relaxed

abc: 2.9731 2.9731 4.8998
angles: 90.00 90.00 120.00
Sites, in units of the cell vectors:
As: 0.0000 0.0000 0.8315
B: 0.6667 0.3333 0.3506
C: 0.6667 0.3333 0.0078
C: 0.0000 0.0000 0.4387

M_tot = 0.00 μB per formula unit
formation energy from the elements = 2.43 eV per formula unit
polymorph energy (0 for the lowest one) = 208 meV per atom
electronic total energy = -27.35 eV/cell

***

[10]
Compound: Li2TmP2Pt2
Source: the Alexandria database
Functional: PBE
Structure: relaxed

abc: 4.0884 4.0884 8.0130
angles: 75.22 75.22 60.00
Sites, in units of the cell vectors:
Li: 0.1425 0.1425 0.5726
Li: 0.8575 0.8575 0.4274
Tm: 0.0000 0.0000 0.0000
P: 0.7458 0.7458 0.7626
P: 0.2542 0.2542 0.2374
Pt: 0.5788 0.5788 0.2636
Pt: 0.4212 0.4212 0.7364

M_tot = 0.00 μB per formula unit
formation energy from the elements = -7.07 eV per formula unit
electronic total energy = -38.27 eV/cell

***

[11]
Compound: AcY2NpN4
Source: the Alexandria database
Functional: PBE
Structure: relaxed

abc: 3.5813 6.4054 12.6187
angles: 90.00 90.00 106.23
Last column: magnetic moment on the atom in μB.
Sites, in units of the cell vectors:
Ac: 0.1488 0.2976 0.7500  0.08
Ac: 0.8512 0.7024 0.2500  0.08
Y: 0.3700 0.7401 0.5230  0.07
Y: 0.6300 0.2599 0.0230  0.07
Y: 0.6300 0.2599 0.4770  0.07
Y: 0.3700 0.7401 0.9770  0.07
Np: 0.8807 0.7614 0.7500  3.29
Np: 0.1193 0.2386 0.2500  3.29
N: 0.2442 0.4885 0.1166  -0.05
N: 0.7558 0.5115 0.6166  -0.05
N: 0.7558 0.5115 0.8834  -0.05
N: 0.2442 0.4885 0.3834  -0.05
N: 0.0000 0.0000 0.5000  -0.02
N: 0.0000 0.0000 0.0000  -0.02
N: 0.4839 0.9677 0.7500  -0.10
N: 0.5161 0.0323 0.2500  -0.10

formation energy from raw total energies = -1.0954 eV per atom
M_tot = 3.63 μB per formula unit
electronic total energy = -144.08 eV/cell

***

[12]
Compound: Nd3ErTm8
Source: the Alexandria database
Functional: PBE
Structure: relaxed

abc: 8.3380 8.3380 8.3380
angles: 95.25 117.02 117.02
Sites, in units of the cell vectors:
Nd: 0.5000 0.7500 0.2500
Nd: 0.5000 0.2500 0.7500
Nd: 0.0000 0.5000 0.5000
Er: 0.0000 0.0000 0.0000
Tm: 0.4877 0.2322 0.2322
Tm: 0.5123 0.7445 0.7445
Tm: 0.0000 0.7678 0.2555
Tm: 0.0000 0.2555 0.7678
Tm: 0.2517 0.3705 0.3705
Tm: 0.7483 0.1188 0.1188
Tm: 0.0000 0.6295 0.8812
Tm: 0.0000 0.8812 0.6295

M_tot = 0.00 μB per formula unit
formation energy from the elements = 7.71 eV per formula unit
electronic total energy = -46.93 eV/cell